Record 1
Computed, not measured: a geometry-optimized Hg2WCl structure at the PBEsol level of DFT.

Calculated values
- energy above the most stable polymorph in this dataset (eV per atom) = 0.638
- formation energy from raw total energies (eV/atom) = 1.04
- VASP energy (eV/atom) = -3.195

a b c (Å): 3.977 3.977 9.845
angles (deg): 90.00 90.00 90.00
Space group I4/mmm (No. 139)
Symmetry-distinct sites (fractional):
Hg (0.000, 0.500, 0.250) (multiplicity 4)
W (0.000, 0.000, 0.000) (multiplicity 2)
Cl (0.000, 0.000, 0.500) (multiplicity 2)

=====

Record 2
Computed, not measured: a geometry-optimized HgWCl2 structure at the PBEsol level of DFT.

Calculated values
- energy above the most stable polymorph in this dataset (eV per atom) = 0.000
- formation energy from raw total energies (eV/atom) = 0.18
- VASP energy (eV/atom) = -4.421

a b c (Å): 3.064 5.672 9.295
angles (deg): 90.00 90.00 90.00
Space group Cmm2 (No. 35)
Symmetry-distinct sites (fractional):
Hg (0.000, 0.000, 0.000) (multiplicity 2)
W (0.000, 0.500, 0.251) (multiplicity 2)
Cl (0.000, 0.000, 0.447) (multiplicity 2)
Cl (0.000, 0.500, 0.782) (multiplicity 2)

=====

Record 3
Computed, not measured: a geometry-optimized HgWCl2 structure at the PBEsol level of DFT.

Calculated values
- energy above the most stable polymorph in this dataset (eV per atom) = 0.099
- formation energy from raw total energies (eV/atom) = 0.28
- VASP energy (eV/atom) = -4.322

a b c (Å): 2.987 2.987 8.917
angles (deg): 90.00 90.00 90.00
Space group P4/mmm (No. 123)
Symmetry-distinct sites (fractional):
Hg (0.000, 0.000, 0.000) (multiplicity 1)
W (0.000, 0.000, 0.500) (multiplicity 1)
Cl (0.500, 0.500, 0.336) (multiplicity 2)

=====

Record 4
Computed, not measured: a geometry-optimized HgW2Cl structure at the PBEsol level of DFT.

Calculated values
- energy above the most stable polymorph in this dataset (eV per atom) = 0.881
- formation energy from raw total energies (eV/atom) = 1.33
- VASP energy (eV/atom) = -6.220

a b c (Å): 5.499 9.114 2.756
angles (deg): 90.00 90.00 90.00
Space group Cmmm (No. 65)
Symmetry-distinct sites (fractional):
Hg (0.000, 0.000, 0.000) (multiplicity 2)
W (0.250, 0.250, 0.500) (multiplicity 4)
Cl (0.000, 0.500, 0.000) (multiplicity 2)

=====

Record 5
Computed, not measured: a geometry-optimized Hg2WCl structure at the PBEsol level of DFT.

Calculated values
- energy above the most stable polymorph in this dataset (eV per atom) = 0.000
- formation energy from raw total energies (eV/atom) = 0.41
- VASP energy (eV/atom) = -3.832

a b c (Å): 2.921 2.921 9.527
angles (deg): 90.00 90.00 90.00
Space group P4mm (No. 99)
Symmetry-distinct sites (fractional):
Hg (0.000, 0.000, 0.000) (multiplicity 1)
Hg (0.500, 0.500, 0.282) (multiplicity 1)
W (0.000, 0.000, 0.502) (multiplicity 1)
Cl (0.500, 0.500, 0.657) (multiplicity 1)

=====

Record 6
Computed, not measured: a geometry-optimized Hg2WCl structure at the PBEsol level of DFT.

Calculated values
- energy above the most stable polymorph in this dataset (eV per atom) = 0.077
- formation energy from raw total energies (eV/atom) = 0.48
- VASP energy (eV/atom) = -3.755

a b c (Å): 4.367 3.071 11.071
angles (deg): 90.00 90.00 90.00
Space group Amm2 (No. 38)
Symmetry-distinct sites (fractional):
Hg (0.000, 0.000, 0.000) (multiplicity 2)
Hg (0.500, 0.000, 0.351) (multiplicity 2)
W (0.000, 0.000, 0.737) (multiplicity 2)
Cl (0.500, 0.000, 0.627) (multiplicity 2)

=====

Record 7
Computed, not measured: a geometry-optimized HgWCl2 structure at the PBEsol level of DFT.

Calculated values
- energy above the most stable polymorph in this dataset (eV per atom) = 0.865
- formation energy from raw total energies (eV/atom) = 1.04
- VASP energy (eV/atom) = -3.556

a b c (Å): 6.823 6.823 6.823
angles (deg): 90.00 90.00 90.00
Space group F-43m (No. 216)
Symmetry-distinct sites (fractional):
Hg (0.000, 0.000, 0.000) (multiplicity 4)
W (0.250, 0.250, 0.250) (multiplicity 4)
Cl (0.000, 0.000, 0.500) (multiplicity 4)
Cl (0.250, 0.250, 0.750) (multiplicity 4)

=====

Record 8
Computed, not measured: a geometry-optimized HgW2Cl structure at the PBEsol level of DFT.

Calculated values
- energy above the most stable polymorph in this dataset (eV per atom) = 0.000
- formation energy from raw total energies (eV/atom) = 0.45
- VASP energy (eV/atom) = -7.102

a b c (Å): 2.871 2.871 9.060
angles (deg): 90.00 90.00 90.00
Space group P4mm (No. 99)
Symmetry-distinct sites (fractional):
Hg (0.000, 0.000, 0.000) (multiplicity 1)
W (0.000, 0.000, 0.452) (multiplicity 1)
W (0.500, 0.500, 0.244) (multiplicity 1)
Cl (0.500, 0.500, 0.634) (multiplicity 1)